Th7Fe2Bi2: relaxed, PBE-GGA.

It has space group Imm2 (No. 44), with a = 3.713 Å, b = 16.771 Å, c = 10.121 Å, α = 90.00°, β = 90.00° and γ = 90.00°. The inequivalent atoms are Th at (0.000, 0.000, 0.000), Th at (0.000, 0.145, 0.440), Th at (0.000, 0.321, 0.632), Th at (0.000, 0.340, 0.274), Fe at (0.000, 0.230, 0.949), Bi at (0.000, 0.000, 0.672) and Bi at (0.000, 0.500, 0.783).

The formation enthalpy at 0 K is -211 meV/atom. As for the crystal system: orthorhombic.